Below is a relaxed structure of RbPmCuSe2, with properties calculated at the PBE level.

Calculated values
- D(E_F): 4.5 states/eV/cell
- Uncorrected formation energy: -98.2 kJ/mol of atoms

abc: 8.148 4.704 8.384
angles: 90.00 99.14 90.00
Space group P2/c (No. 13)
Inequivalent atoms, fractional coordinates:
Rb  0.000  0.173  0.250 x2
Pm  0.500  0.492  0.750 x2
Cu  0.500  0.000  0.000 x2
Se  0.271  0.313  0.967 x4